Entry 1:
The following is a meta-GGA SCAN calculation of a crystal of Ba2BeW relaxed with PBEsol, from the Alexandria database.

abc: 9.736 3.057 7.193
angles: 90.00 94.69 90.00
Space group C2/m (No. 12)
Inequivalent atoms, fractional coordinates:
Ba 0.247 0.000 0.247 (multiplicity 4)
Be 0.000 0.500 0.000 (multiplicity 2)
W 0.000 0.000 0.500 (multiplicity 2)

Summary:
- total energy (eV per atom) = -36.630
- E_form (eV per atom) = 1.655
- magnetization (μB/atom) = 0.303

***

Entry 2:
The following is a meta-GGA SCAN calculation of a crystal of Mn2IrRu relaxed with PBEsol, from the Alexandria database.

abc: 5.219 7.197 2.606
angles: 90.00 90.00 90.00
Space group Cmmm (No. 65)
Inequivalent atoms, fractional coordinates:
Mn 0.250 0.250 0.000 (multiplicity 4)
Ir 0.000 0.000 0.500 (multiplicity 2)
Ru 0.000 0.500 0.500 (multiplicity 2)

Summary:
- total energy (eV per atom) = -35.725
- E_form (eV per atom) = -0.116
- magnetization (μB/atom) = 0.818

***

Entry 3:
The following is a meta-GGA SCAN calculation of a crystal of Sc2TaCl relaxed with PBEsol, from the Alexandria database.

abc: 3.034 4.760 5.554
angles: 90.00 90.00 90.00
Space group Pmm2 (No. 25)
Inequivalent atoms, fractional coordinates:
Sc 0.000 0.000 0.000 (multiplicity 1)
Sc 0.500 0.500 0.382 (multiplicity 1)
Ta 0.000 0.000 0.480 (multiplicity 1)
Cl 0.500 0.500 0.925 (multiplicity 1)

Summary:
- total energy (eV per atom) = -25.847
- formation energy without anion corrections (meV per atom) = -88.2
- magnetization (μB/atom) = 0.000

***

Entry 4:
The following is a meta-GGA SCAN calculation of a crystal of LaTe3Os relaxed with PBEsol, from the Alexandria database.

abc: 5.215 5.215 5.215
angles: 90.00 90.00 90.00
Space group Pm-3m (No. 221)
Inequivalent atoms, fractional coordinates:
La 0.000 0.000 0.000 (multiplicity 1)
Te 0.000 0.500 0.500 (multiplicity 3)
Os 0.500 0.500 0.500 (multiplicity 1)

Summary:
- total energy (eV per atom) = -45.516
- formation energy without anion corrections (meV per atom) = -168.1
- magnetization (μB/atom) = 0.249